Entry 1:
{"formula": "HoTm2Ag2", "functional": "PBE", "state": "relaxed", "sg": "No. 11", "e_above_lowest_polymorph_mev_per_atom": 90, "ef_ev_per_fu": -0.804, "cell": [[-2.2268, 4.2345, 1.3581], [0.9206, -1.4577, 6.0544], [7.1994, 3.5891, 0.6136]], "species": ["Ho", "Ho", "Tm", "Tm", "Tm", "Tm", "Ag", "Ag", "Ag", "Ag"], "fractional_positions": [[0.2500, 0.6878, 0.2534], [0.7500, 0.3122, 0.7466], [0.2500, 0.9028, 0.8567], [0.7500, 0.0972, 0.1433], [0.2500, 0.1611, 0.4468], [0.7500, 0.8389, 0.5532], [0.2500, 0.5713, 0.6156], [0.7500, 0.4287, 0.3844], [0.2500, 0.3629, 0.9819], [0.7500, 0.6371, 0.0181]]}



Entry 2:
{"formula": "Ac2LaSn3Rh4", "functional": "PBE", "state": "relaxed", "sg": "No. 115", "ef_ev_per_fu": -7.515, "cell": [[4.6312, 0.0000, 0.0000], [0.0000, 4.6312, 0.0000], [0.0000, 0.0000, 11.2729]], "species": ["Ac", "Ac", "La", "Sn", "Sn", "Sn", "Rh", "Rh", "Rh", "Rh"], "fractional_positions": [[0.5000, 0.0000, 0.2279], [0.0000, 0.5000, 0.7721], [0.5000, 0.5000, 0.5000], [0.0000, 0.0000, 0.5000], [0.5000, 0.0000, 0.8789], [0.0000, 0.5000, 0.1211], [0.5000, 0.5000, 0.0000], [0.0000, 0.0000, 0.0000], [0.5000, 0.0000, 0.6439], [0.0000, 0.5000, 0.3561]]}



Entry 3:
{"formula": "Ni2RuBr", "functional": "PBE", "state": "relaxed", "sg": "No. 35", "formation_energy_uncorrected_ev_per_atom": 0.79, "e_above_lowest_polymorph_mev_per_atom": 306, "cell": [[-1.5986, 2.2845, 0.3471], [-1.1173, -2.5205, 0.5417], [2.6094, 0.5906, 8.1296]], "species": ["Br", "Ni", "Ni", "Ru"], "fractional_positions": [[0.5000, 0.5000, 0.7672], [0.0000, 0.0000, 0.0165], [0.5000, 0.5000, 0.2418], [0.0000, 0.0000, 0.4744]]}



| no. | total energy (eV per atom) | density of states at the Fermi level (states/eV/cell) |
| --- | --- | --- |
| 1 | -4.006 | 10.3 |
| 2 | -6.207 | 9.5 |
| 3 | -4.837 | 6.3 |